Compound: UAl2ZnAu4
Source: the Alexandria database
Functional: PBE
Structure: optimized geometry

- DFT formation energy (eV per atom) = -0.2750
- volume (Å³ per atom) = 18.706
- calculated total energy (eV/f.u.) = -35.356
- symmetry = R-3m

Lattice parameters (Å, degrees): 4.4207 4.4207 9.2030 76.10 76.10 60.00
Closest atoms and distances in Å follow each position.
Fractional coordinates of all 8 atoms:
Al1 0.2424 0.2424 0.2728  7 Au 2.68-3.00
Al2 0.7576 0.7576 0.7272  7 Au 2.68-3.00
U1 0.0000 0.0000 0.0000  6 Au 3.00
Au1 0.6071 0.6071 0.1788  3 Al 2.68, 1 Zn 2.84, 3 U 3.00
Au2 0.8706 0.8706 0.3881  3 Zn 2.74, 4 Al 2.75-3.00
Au3 0.1294 0.1294 0.6119  3 Zn 2.74, 4 Al 2.75-3.00
Au4 0.3929 0.3929 0.8212  3 Al 2.68, 1 Zn 2.84, 3 U 3.00
Zn1 0.5000 0.5000 0.5000  8 Au 2.74-2.84